Entry 1:
The following is a DFT calculation (PBE) of crystalline CsMnCI2 at its relaxed geometry.

Unit cell a=5.368 b=5.368 c=5.580 alpha=90.00 beta=90.00 gamma=90.00
Atoms (fractional coordinates):
Cs (0.000, 0.000, 0.000)
Mn (0.500, 0.500, 0.000)
C (0.000, 0.000, 0.500)
I (0.000, 0.500, 0.500)
I (0.500, 0.000, 0.500)

Summary:
**Formation energy from raw total energies**: 1.204 eV/atom

Entry 2:
The following is a DFT calculation (PBE) of crystalline Cs2MnCI6 at its relaxed geometry.

Unit cell a=8.005 b=8.005 c=8.005 alpha=60.00 beta=60.00 gamma=60.00
Atoms (fractional coordinates):
Cs (0.250, 0.250, 0.250)
Cs (0.750, 0.750, 0.750)
Mn (0.000, 0.000, 0.000)
C (0.500, 0.500, 0.500)
I (0.256, 0.256, 0.744)
I (0.256, 0.744, 0.256)
I (0.256, 0.744, 0.744)
I (0.744, 0.256, 0.256)
I (0.744, 0.256, 0.744)
I (0.744, 0.744, 0.256)

Summary:
**Formation energy from raw total energies**: -0.221 eV/atom

Entry 3:
The following is a DFT calculation (PBE) of crystalline Cs2PtC4I2N4 at its relaxed geometry.

Unit cell a=7.822 b=10.237 c=9.596 alpha=90.00 beta=107.36 gamma=90.00
Atoms (fractional coordinates):
Cs (0.036, 0.210, 0.385)
Cs (0.036, 0.290, 0.885)
Cs (0.964, 0.710, 0.115)
Cs (0.964, 0.790, 0.615)
Pt (0.500, 0.000, 0.000)
Pt (0.500, 0.500, 0.500)
C (0.313, 0.031, 0.103)
C (0.313, 0.469, 0.603)
C (0.315, 0.037, 0.808)
C (0.315, 0.463, 0.308)
C (0.685, 0.537, 0.692)
C (0.685, 0.963, 0.192)
C (0.687, 0.531, 0.397)
C (0.687, 0.969, 0.897)
I (0.409, 0.742, 0.969)
I (0.409, 0.758, 0.469)
I (0.591, 0.242, 0.531)
I (0.591, 0.258, 0.031)
N (0.201, 0.051, 0.159)
N (0.201, 0.449, 0.659)
N (0.202, 0.060, 0.698)
N (0.202, 0.440, 0.198)
N (0.798, 0.560, 0.802)
N (0.798, 0.940, 0.302)
N (0.799, 0.551, 0.341)
N (0.799, 0.949, 0.841)

Summary:
**Formation energy from raw total energies**: -0.180 eV/atom

Entry 4:
The following is a DFT calculation (PBE) of crystalline Cs2NaCI6 at its relaxed geometry.

Unit cell a=8.285 b=8.285 c=8.285 alpha=120.05 beta=120.05 gamma=89.91
Atoms (fractional coordinates):
Cs (0.250, 0.750, 0.500)
Cs (0.750, 0.250, 0.500)
Na (0.000, 0.000, 0.000)
C (0.500, 0.500, 0.000)
I (0.272, 0.272, 0.000)
I (0.272, 0.272, 0.544)
I (0.272, 0.728, 0.000)
I (0.728, 0.272, 0.000)
I (0.728, 0.728, 0.000)
I (0.728, 0.728, 0.456)

Summary:
**Formation energy from raw total energies**: -0.315 eV/atom

Entry 5:
The following is a DFT calculation (PBE) of crystalline CsCIO2 at its relaxed geometry.

Unit cell a=4.225 b=4.225 c=8.397 alpha=90.00 beta=90.00 gamma=90.00
Atoms (fractional coordinates):
Cs (0.000, 0.000, 0.000)
C (0.500, 0.500, 0.500)
I (0.000, 0.000, 0.500)
O (0.000, 0.500, 0.000)
O (0.500, 0.000, 0.000)

Summary:
**Formation energy from raw total energies**: 1.668 eV/atom

Entry 6:
The following is a DFT calculation (PBE) of crystalline CsCIO2 at its relaxed geometry.

Unit cell a=4.798 b=4.798 c=4.433 alpha=90.00 beta=90.00 gamma=90.00
Atoms (fractional coordinates):
Cs (0.000, 0.000, 0.000)
C (0.500, 0.500, 0.500)
I (0.500, 0.500, 0.000)
O (0.000, 0.500, 0.500)
O (0.500, 0.000, 0.500)

Summary:
**Formation energy from raw total energies**: 1.088 eV/atom

Entry 7:
The following is a DFT calculation (PBE) of crystalline Cs2PdCI6 at its relaxed geometry.

Unit cell a=7.890 b=7.890 c=7.890 alpha=119.99 beta=119.99 gamma=90.01
Atoms (fractional coordinates):
Cs (0.250, 0.750, 0.500)
Cs (0.750, 0.250, 0.500)
Pd (0.000, 0.000, 0.000)
C (0.500, 0.500, 0.000)
I (0.254, 0.254, 0.508)
I (0.254, 0.746, 0.000)
I (0.255, 0.255, 0.000)
I (0.745, 0.745, 0.000)
I (0.746, 0.254, 0.000)
I (0.746, 0.746, 0.492)

Summary:
**Formation energy from raw total energies**: -0.163 eV/atom

Entry 8:
The following is a DFT calculation (PBE) of crystalline Cs2PtCI6 at its relaxed geometry.

Unit cell a=7.883 b=7.883 c=7.883 alpha=119.95 beta=119.95 gamma=90.09
Atoms (fractional coordinates):
Cs (0.250, 0.750, 0.500)
Cs (0.750, 0.250, 0.500)
Pt (0.000, 0.000, 0.000)
C (0.500, 0.500, 0.000)
I (0.251, 0.251, 0.502)
I (0.251, 0.749, 0.000)
I (0.254, 0.254, 0.000)
I (0.746, 0.746, 0.000)
I (0.749, 0.251, 0.000)
I (0.749, 0.749, 0.498)

Summary:
**Formation energy from raw total energies**: -0.134 eV/atom

Which of these has the lowest formation energy from raw total energies?
Cs2NaCI6

Among the records above, which one has the lowest formation energy from raw total energies?
Cs2NaCI6